{"formula": "K3NpAs2S8", "functional": "GGA-PBE", "state": "relaxed", "lattice": [[7.2406, 0.0000, 0.0000], [-3.6203, 6.2706, 0.0000], [0.0000, 0.0000, 9.0773]], "species": ["S", "S", "K", "S", "As", "K", "Np", "S", "S", "K", "As", "S", "S", "S"], "frac_coords": [[0.8387, 0.1613, 0.6876], [0.6667, 0.3333, 0.0026], [0.3333, 0.6667, 0.6486], [0.1613, 0.3226, 0.3124], [0.3333, 0.6667, 0.2287], [0.6667, 0.3333, 0.3514], [0.0000, 0.0000, 0.5000], [0.1613, 0.8387, 0.3124], [0.3226, 0.1613, 0.6876], [0.0000, 0.0000, 0.0000], [0.6667, 0.3333, 0.7713], [0.6774, 0.8387, 0.3124], [0.8387, 0.6774, 0.6876], [0.3333, 0.6667, 0.9974]], "vol_a3_per_atom": 29.4, "spacegroup": "No. 164"}

=====

{"formula": "K2NpAsS5", "functional": "GGA-PBE", "state": "relaxed", "lattice": [[4.1683, 0.0000, 0.0000], [-2.0841, 8.9177, 0.0000], [0.0000, 0.0000, 14.0785]], "species": ["S", "K", "S", "K", "K", "As", "S", "S", "S", "S", "S", "S", "S", "K", "As", "Np", "Np", "S"], "frac_coords": [[0.3410, 0.6820, 0.9941], [0.1023, 0.2046, 0.6592], [0.7164, 0.4328, 0.1514], [0.1370, 0.2741, 0.3150], [0.8977, 0.7954, 0.1592], [0.4511, 0.9023, 0.4290], [0.6792, 0.3585, 0.9087], [0.6590, 0.3180, 0.4941], [0.4954, 0.9908, 0.2845], [0.9366, 0.8731, 0.5477], [0.5046, 0.0092, 0.7845], [0.2836, 0.5672, 0.6514], [0.3208, 0.6415, 0.4087], [0.8630, 0.7259, 0.8150], [0.5489, 0.0977, 0.9290], [0.7933, 0.5866, 0.5343], [0.2067, 0.4134, 0.0343], [0.0634, 0.1269, 0.0477]], "vol_a3_per_atom": 29.1, "spacegroup": "No. 36"}

=====

no.,D(E_F) (states/eV/f.u.),formation energy without anion corrections (eV per atom)
1,7.02,-0.652
2,5.33,-0.908